[1]
Computed, not measured: an optimized crystal structure of Fe2RuPt at the GGA-PBE level of DFT.

The space group is Pm (No. 6) and the conventional cell measures 2.674, 4.002 and 5.136 Å, with angles of 90.00, 105.06 and 90.00 degrees. The inequivalent atoms are Fe at (0.000, 0.000, 0.000), Fe at (0.138, 0.500, 0.262), Ru at (0.401, 0.500, 0.795) and Pt at (0.745, 0.000, 0.482).

Its total DFT energy (no corrections) is -8.013 eV per atom. The energy of formation from the pure elements comes out at 47 meV/atom. Its magnetic moment is 4.58 μB per formula unit. The calculation puts the density of states at the Fermi level at 5.072 states/eV per cell.

[2]
Computed, not measured: an optimized crystal structure of NaMn2PbI8 at the GGA-PBE level of DFT.

The space group is P-3 (No. 147) and the conventional cell measures 7.5949, 7.5949 and 10.5732 Å, with angles of 90.00, 90.00 and 120.00 degrees. The inequivalent atoms are Na at (0.0000, 0.0000, 0.0000), Mn at (0.3333, 0.6667, 0.7572), Pb at (0.0000, 0.0000, 0.5000), I at (0.0051, 0.6741, 0.3052) and I at (0.3333, 0.6667, 0.0026).

Its total DFT energy (no corrections) is -3.472 eV per atom. The raw formation energy comes out at -491 meV/atom. Its magnetic moment is 9.00 μB per formula unit. The calculation puts the density of states at the Fermi level at 9.462 states/eV per cell.

[3]
Computed, not measured: an optimized crystal structure of Sr3Sb2H at the GGA-PBE level of DFT.

The space group is C2/m (No. 12) and the conventional cell measures 18.521, 5.296 and 4.164 Å, with angles of 90.00, 102.93 and 90.00 degrees. The inequivalent atoms are Sr at (0.000, 0.000, 0.000), Sr at (0.163, 0.500, 0.162), Sb at (0.149, 0.000, 0.648) and H at (0.000, 0.500, 0.000).

Its total DFT energy (no corrections) is -3.580 eV per atom. Its magnetic moment is 0.00 μB per formula unit. The relative energy among the computed polymorphs comes out at 0.0622 eV/atom. The calculation puts the density of states at the Fermi level at 5.315 states/eV per cell.

[4]
Computed, not measured: an optimized crystal structure of PmScTaO6 at the GGA-PBE level of DFT.

The space group is P4_2nm (No. 102) and the conventional cell measures 5.007, 5.007 and 9.943 Å, with angles of 90.00, 90.00 and 90.00 degrees. The inequivalent atoms are Pm at (0.000, 0.000, 0.000), Sc at (0.000, 0.000, 0.336), Ta at (0.000, 0.000, 0.663), O at (0.177, 0.177, 0.507), O at (0.201, 0.201, 0.806) and O at (0.217, 0.217, 0.183).

Its total DFT energy (no corrections) is -8.805 eV per atom. The raw formation energy comes out at -2951 meV/atom. Its magnetic moment is 1.01 μB per formula unit. The calculation puts the density of states at the Fermi level at 9.741 states/eV per cell.